No. 1
A geometry-optimized Pr3Zn5Pd2 structure, computed with PBE.

Cell and atoms, written as extended XYZ:
```
20
Lattice="6.217 0.000 0.000 3.109 8.276 -1.062 3.109 1.173 8.261" Properties=species:S:1:pos:R:3 pbc="T T T"
Pr 1.554 0.000 0.000
Pr 4.663 0.000 0.000
Pr 6.217 4.299 6.664
Pr 6.217 5.150 0.536
Pr 9.326 7.566 2.376
Pr 3.109 1.883 4.823
Zn 4.663 4.724 3.600
Zn 7.771 4.724 3.600
Zn 7.771 6.975 5.315
Zn 7.771 2.473 1.885
Zn 4.663 2.473 1.885
Zn 4.663 6.975 5.315
Zn 3.109 4.541 1.495
Zn 9.326 4.907 5.704
Zn 6.217 2.647 3.982
Zn 6.217 6.802 3.218
Pd 3.109 5.859 -0.713
Pd 9.326 3.590 7.912
Pd 6.217 0.867 5.838
Pd 6.217 8.581 1.362
```

Properties
DFT formation energy (eV per atom): -0.399

=====

No. 2
A geometry-optimized Pr3ZnPd12 structure, computed with PBE.

Cell and atoms, written as extended XYZ:
```
16
Lattice="4.200 0.000 0.000 0.000 4.200 0.000 0.000 0.000 16.195" Properties=species:S:1:pos:R:3 pbc="T T T"
Pr 0.000 0.000 3.844
Pr 0.000 0.000 8.097
Pr 0.000 0.000 12.351
Zn 0.000 0.000 0.000
Pd 2.100 2.100 0.000
Pd 2.100 2.100 3.877
Pd 2.100 2.100 8.097
Pd 2.100 2.100 12.318
Pd 2.100 0.000 1.739
Pd 2.100 0.000 5.986
Pd 2.100 0.000 10.209
Pd 2.100 0.000 14.456
Pd 0.000 2.100 1.739
Pd 0.000 2.100 5.986
Pd 0.000 2.100 10.209
Pd 0.000 2.100 14.456
```

Properties
DFT formation energy (eV per atom): -0.618

=====

No. 3
A geometry-optimized Pr2Zn16Pd structure, computed with PBE.

Cell and atoms, written as extended XYZ:
```
19
Lattice="-4.649 2.988 4.065 1.113 -3.855 5.566 4.282 4.306 3.192" Properties=species:S:1:pos:R:3 pbc="T T T"
Pr 0.496 2.285 8.519
Pr 0.253 1.164 4.340
Zn -0.956 -0.489 9.364
Zn -1.283 4.932 7.929
Zn 3.729 2.425 8.310
Zn -2.621 1.488 8.931
Zn 1.297 5.313 7.677
Zn 2.814 0.067 8.996
Zn 0.805 -0.669 7.219
Zn -2.003 2.665 6.488
Zn 2.349 3.307 6.063
Zn -0.065 4.150 5.603
Zn 2.788 0.763 6.345
Zn -1.633 0.110 6.778
Zn 0.194 5.337 10.039
Zn 3.043 1.954 10.780
Zn -1.373 1.302 11.212
Zn 0.076 0.349 1.302
Pd 0.673 3.103 11.569
```

Properties
DFT formation energy (eV per atom): -0.303

=====

Which of these has the highest DFT formation energy?
Pr2Zn16Pd